1.
Computed, not measured: Mn4Pt after structural relaxation at the GGA-PBE level of DFT.

a b c (Å): 5.719 5.719 3.610
angles (deg): 90.00 90.00 90.00
Sites, in units of the cell vectors:
Mn (0.091, 0.689, 0.000)
Mn (0.189, 0.409, 0.500)
Mn (0.311, 0.091, 0.000)
Mn (0.409, 0.811, 0.500)
Mn (0.591, 0.189, 0.500)
Mn (0.689, 0.909, 0.000)
Mn (0.811, 0.591, 0.500)
Mn (0.909, 0.311, 0.000)
Pt (0.000, 0.000, 0.500)
Pt (0.500, 0.500, 0.000)

uncorrected energy	-42.6	eV/f.u.
formation energy	0.02	eV/atom
magnetization	0.32	μB per atom
calculated volume	11.807	Å³/atom
symmetry	I4/m



2.
Computed, not measured: AcSmCo2 after structural relaxation at the GGA-PBE level of DFT.

a b c (Å): 7.073 7.073 7.073
angles (deg): 90.00 90.00 90.00
Sites, in units of the cell vectors:
Ac (0.000, 0.000, 0.000)
Ac (0.000, 0.500, 0.500)
Ac (0.500, 0.000, 0.500)
Ac (0.500, 0.500, 0.000)
Sm (0.000, 0.000, 0.500)
Sm (0.000, 0.500, 0.000)
Sm (0.500, 0.000, 0.000)
Sm (0.500, 0.500, 0.500)
Co (0.250, 0.250, 0.250)
Co (0.250, 0.250, 0.750)
Co (0.250, 0.750, 0.250)
Co (0.250, 0.750, 0.750)
Co (0.750, 0.250, 0.250)
Co (0.750, 0.250, 0.750)
Co (0.750, 0.750, 0.250)
Co (0.750, 0.750, 0.750)

uncorrected energy	-22.5	eV/f.u.
formation energy	0.13	eV/atom
magnetization	0.22	μB per atom
calculated volume	22.118	Å³/atom
symmetry	Fm-3m
excess energy over the best structure of this formula in the dataset	0	meV per atom



3.
Computed, not measured: CsOsSe2 after structural relaxation at the GGA-PBE level of DFT.

a b c (Å): 7.747 7.747 8.322
angles (deg): 90.00 90.00 90.00
Sites, in units of the cell vectors:
Cs (0.000, 0.000, 0.000)
Cs (0.000, 0.500, 0.250)
Cs (0.500, 0.000, 0.750)
Cs (0.500, 0.500, 0.500)
Os (0.000, 0.000, 0.500)
Os (0.000, 0.500, 0.750)
Os (0.500, 0.000, 0.250)
Os (0.500, 0.500, 0.000)
Se (0.121, 0.250, 0.625)
Se (0.250, 0.621, 0.875)
Se (0.250, 0.879, 0.375)
Se (0.379, 0.250, 0.125)
Se (0.621, 0.750, 0.125)
Se (0.750, 0.121, 0.375)
Se (0.750, 0.379, 0.875)
Se (0.879, 0.750, 0.625)

uncorrected energy	-20.2	eV/f.u.
formation energy without anion corrections	-0.290	eV per atom
magnetization	0.00	μB per atom
calculated volume	31.214	Å³/atom
symmetry	I-42d
excess energy over the best structure of this formula in the dataset	0	meV per atom



4.
Computed, not measured: LiZn8Ag6 after structural relaxation at the GGA-PBE level of DFT.

a b c (Å): 10.278 10.278 2.868
angles (deg): 90.00 90.00 120.00
Sites, in units of the cell vectors:
Li (0.000, 0.000, 0.000)
Zn (0.062, 0.796, 0.305)
Zn (0.204, 0.266, 0.305)
Zn (0.266, 0.062, 0.695)
Zn (0.333, 0.667, 0.724)
Zn (0.667, 0.333, 0.276)
Zn (0.734, 0.938, 0.305)
Zn (0.796, 0.734, 0.695)
Zn (0.938, 0.204, 0.695)
Ag (0.098, 0.462, 0.225)
Ag (0.364, 0.902, 0.225)
Ag (0.462, 0.364, 0.775)
Ag (0.538, 0.636, 0.225)
Ag (0.636, 0.098, 0.775)
Ag (0.902, 0.538, 0.775)

uncorrected energy	-28.1	eV/f.u.
formation energy	0.07	eV/atom
magnetization	0.00	μB per atom
calculated volume	17.492	Å³/atom
symmetry	P-3
excess energy over the best structure of this formula in the dataset	68	meV per atom